No. 1
First-principles (PBE-GGA) data for TaTeRu2 after structural relaxation, as listed in Alexandria.

For the raw formation energy, the calculation gives 213 meV per atom. The value obtained for the density of states at the Fermi level is 2.28 states/eV per cell. Its space group is No. 99. The spin magnetization is 0.0 Bohr magnetons per cell.

Cell lengths 3.1234, 3.1234, 6.9800 Å; angles 90.00, 90.00, 90.00 degrees
Sites, in units of the cell vectors:
Ta: 0.0000 0.0000 0.0000
Te: 0.5000 0.5000 0.2971
Ru: 0.0000 0.0000 0.5243
Ru: 0.5000 0.5000 0.7825

No. 2
First-principles (PBE-GGA) data for LiIn3Hg8 after structural relaxation, as listed in Alexandria.

Its formation energy is 0.03 eV per atom. The value obtained for the density of states at the Fermi level is 5.40 states/eV per cell. Its space group is No. 121. The spin magnetization is 0.0 Bohr magnetons per cell.

Cell lengths 7.7870, 7.7870, 7.7870 Å; angles 118.96, 118.96, 91.80 degrees
Sites, in units of the cell vectors:
Li: 0.0000 0.0000 0.0000
In: 0.2500 0.7500 0.5000
In: 0.5000 0.5000 0.0000
In: 0.7500 0.2500 0.5000
Hg: 0.0881 0.3584 0.0000
Hg: 0.2067 0.7308 0.0000
Hg: 0.2692 0.2692 0.4759
Hg: 0.3584 0.0881 0.0000
Hg: 0.6416 0.6416 0.7297
Hg: 0.7308 0.2067 0.0000
Hg: 0.7933 0.7933 0.5241
Hg: 0.9119 0.9119 0.2703

No. 3
First-principles (PBE-GGA) data for Tb3PmPb5 after structural relaxation, as listed in Alexandria.

Its formation energy is -0.42 eV per atom. The value obtained for the density of states at the Fermi level is 15.63 states/eV per cell. Its space group is No. 193. The spin magnetization is 0.0 Bohr magnetons per cell.

Cell lengths 9.6605, 9.6605, 6.5082 Å; angles 90.00, 90.00, 120.00 degrees
Sites, in units of the cell vectors:
Tb: 0.0000 0.3784 0.2500
Tb: 0.0000 0.6216 0.7500
Tb: 0.3784 0.0000 0.2500
Tb: 0.3784 0.3784 0.7500
Tb: 0.6216 0.0000 0.7500
Tb: 0.6216 0.6216 0.2500
Pm: 0.0000 0.0000 0.0000
Pm: 0.0000 0.0000 0.5000
Pb: 0.0000 0.2947 0.7500
Pb: 0.0000 0.7053 0.2500
Pb: 0.2947 0.0000 0.7500
Pb: 0.2947 0.2947 0.2500
Pb: 0.3333 0.6667 0.0000
Pb: 0.3333 0.6667 0.5000
Pb: 0.6667 0.3333 0.0000
Pb: 0.6667 0.3333 0.5000
Pb: 0.7053 0.0000 0.2500
Pb: 0.7053 0.7053 0.7500

No. 4
First-principles (PBE-GGA) data for ScCd2Pt after structural relaxation, as listed in Alexandria.

Its formation energy is -0.52 eV per atom. The value obtained for the density of states at the Fermi level is 9.80 states/eV per cell. Its space group is No. 216. The spin magnetization is 0.0 Bohr magnetons per cell.

Cell lengths 6.7441, 6.7441, 6.7441 Å; angles 90.00, 90.00, 90.00 degrees
Sites, in units of the cell vectors:
Sc: 0.0000 0.0000 0.0000
Sc: 0.0000 0.5000 0.5000
Sc: 0.5000 0.0000 0.5000
Sc: 0.5000 0.5000 0.0000
Cd: 0.0000 0.0000 0.5000
Cd: 0.0000 0.5000 0.0000
Cd: 0.2500 0.2500 0.7500
Cd: 0.2500 0.7500 0.2500
Cd: 0.5000 0.0000 0.0000
Cd: 0.5000 0.5000 0.5000
Cd: 0.7500 0.2500 0.2500
Cd: 0.7500 0.7500 0.7500
Pt: 0.2500 0.2500 0.2500
Pt: 0.2500 0.7500 0.7500
Pt: 0.7500 0.2500 0.7500
Pt: 0.7500 0.7500 0.2500